Material: TaFe2RhO6
Method: DFT, GGA+U
State: relaxed

calculated volume	113	Å³/cell
energy	-7.701	eV/atom
size of the total moment	8.0	μB/f.u.

abc: 5.281 5.311 5.636
angles: 61.41 61.03 59.56
Each line ends with the local moment (μB).
Fractional positions:
O1 0.196 0.940 0.271  0.04
O2 0.442 0.712 0.766  0.04
O3 0.596 0.196 0.265  0.05
Fe1 0.024 0.024 0.928  3.77
Fe2 0.539 0.517 0.416  3.75
Rh1 0.321 0.323 0.034  0.01
O4 0.933 0.595 0.274  0.04
O5 0.088 0.448 0.758  0.04
Ta1 0.822 0.821 0.543  0.02
O6 0.702 0.085 0.761  0.04